5
Lattice="4.7402 0.0000 0.0000 0.0000 4.7402 0.0000 0.0000 0.0000 6.1136" Properties=species:S:1:pos:R:3 comment="Li2YMgF | Alexandria | GGA-PBE | relaxed" mass_density_g_cm3=1.766 total_energy_ev_per_atom=-2.68 m_tot_mub_per_cell=0.00 space_group="No. 123" pbc="T T T"
Li 0.0000 2.3701 0.0000
Li 2.3701 0.0000 0.0000
Y 0.0000 0.0000 3.0568
Mg 0.0000 0.0000 0.0000
F 2.3701 2.3701 3.0568